The following is a PBE calculation of a relaxed Ho3ZnPd3 crystal, from Alexandria.

Electronic total energy: -0.1905 hartree per atom
ΔH_f (0 K): -5.7 eV per formula unit
Spin magnetization: 0.00 μB per cell
Density of states at the Fermi level: 0.65 states/eV/atom

Lattice parameters (Å, degrees): 4.0551 5.5711 14.1827 90.00 90.00 111.34
Element x y z (fractional)
Ho 0.1920 0.3841 0.8963
Ho 0.8080 0.6159 0.1037
Ho 0.1920 0.3841 0.6037
Ho 0.8080 0.6159 0.3963
Ho 0.4644 0.9288 0.7500
Ho 0.5356 0.0712 0.2500
Zn 0.5000 0.0000 0.0000
Zn 0.5000 0.0000 0.5000
Pd 0.9060 0.8121 0.9067
Pd 0.0940 0.1879 0.0933
Pd 0.9060 0.8121 0.5933
Pd 0.0940 0.1879 0.4067
Pd 0.7393 0.4786 0.7500
Pd 0.2607 0.5214 0.2500